VASP calculation (PBE-GGA) on CaBeRh2 after structural relaxation.

Cell lengths 3.6237, 2.9732, 6.0682 Å; angles 75.27, 90.00, 90.00 degrees
Sites, in units of the cell vectors:
Be: 0.5000 0.2500 0.2500
Ca: 0.5000 0.7500 0.7500
Rh: 0.0000 0.0752 0.0571
Rh: 0.0000 0.4248 0.4429

Its total energy is -21.26 eV for the cell shown. Its spin magnetization is 0.0 μB per formula unit. The volume comes out at 15.8 Å³/atom. Its formation enthalpy at 0 K is -80 kJ/mol of formula units.